# 1
A relaxed SrSn4 crystal, computed with GGA-PBEsol.

As for the energy relative to the elements: -35.2 kJ per mole of atoms. The symmetry is No. 63.

a b c (Å): 4.668 6.926 8.863
angles (deg): 90.00 105.27 90.00
Positions (direct):
1 Sr 0.610 0.250 0.221
2 Sr 0.390 0.750 0.779
3 Sn 0.804 0.040 0.609
4 Sn 0.196 0.960 0.391
5 Sn 0.196 0.540 0.391
6 Sn 0.804 0.460 0.609
7 Sn 0.408 0.250 0.816
8 Sn 0.592 0.750 0.184
9 Sn 0.000 0.000 0.000
10 Sn 0.000 0.500 0.000


# 2
A relaxed ZrSc2Mn crystal, computed with GGA-PBEsol.

As for the energy relative to the elements: 25.6 kJ per mole of atoms. The symmetry is No. 65. For the energy above the most stable polymorph in this dataset, the calculation gives 225.3 meV per atom.

a b c (Å): 3.129 5.178 5.178
angles (deg): 107.34 90.00 90.00
Each line ends with the local moment (μB).
Positions (direct):
1 Mn 0.500 0.500 0.500  3.29
2 Sc 0.000 0.500 0.000  -0.21
3 Sc 0.000 0.000 0.500  -0.21
4 Zr 0.500 0.000 0.000  -0.17


# 3
A relaxed CrCdOs3 crystal, computed with GGA-PBEsol.

As for the energy relative to the elements: 321.4 kJ per mole of atoms. The symmetry is No. 221.

a b c (Å): 4.722 4.722 4.722
angles (deg): 90.00 90.00 90.00
Each line ends with the local moment (μB).
Positions (direct):
1 Cr 0.500 0.500 0.500  3.64
2 Os 0.000 0.500 0.000  -1.06
3 Os 0.000 0.000 0.500  -1.06
4 Os 0.500 0.000 0.000  -1.06
5 Cd 0.000 0.000 0.000  -0.03


# 4
A relaxed YCd2Re crystal, computed with GGA-PBEsol.

As for the energy relative to the elements: 35.0 kJ per mole of atoms. The symmetry is No. 44.

a b c (Å): 3.954 4.489 5.358
angles (deg): 114.76 111.65 90.00
Positions (direct):
1 Cd 0.007 0.007 0.015
2 Cd 0.750 0.250 0.500
3 Re 0.494 0.494 0.988
4 Y 0.249 0.749 0.497


# 5
A relaxed BPSCl2 crystal, computed with GGA-PBEsol.

Its raw formation energy is 1.327 eV per atom. The symmetry is No. 123.

a b c (Å): 4.698 4.626 4.626
angles (deg): 90.00 90.00 90.00
Positions (direct):
1 P 0.500 0.000 0.000
2 S 0.000 0.000 0.000
3 B 0.500 0.500 0.500
4 Cl 0.000 0.000 0.500
5 Cl 0.000 0.500 0.000


# 6
A relaxed YTaW2 crystal, computed with GGA-PBEsol.

As for the energy relative to the elements: 53.0 kJ per mole of atoms. The symmetry is No. 47. For the energy above the most stable polymorph in this dataset, the calculation gives 74.4 meV per atom.

a b c (Å): 3.168 4.747 4.768
angles (deg): 90.00 90.00 90.00
Positions (direct):
1 Ta 0.000 0.500 0.500
2 W 0.000 0.000 0.000
3 W 0.500 0.000 0.500
4 Y 0.500 0.500 0.000


# 7
A relaxed ZnIn3Au12 crystal, computed with GGA-PBEsol.

As for the energy relative to the elements: -12.6 kJ per mole of atoms. The symmetry is No. 25.

a b c (Å): 4.717 5.168 11.424
angles (deg): 90.00 90.00 90.00
Positions (direct):
1 Zn 0.500 0.668 0.000
2 In 0.500 0.660 0.500
3 In 0.000 0.335 0.248
4 In 0.000 0.335 0.752
5 Au 0.000 0.355 0.000
6 Au 0.000 0.334 0.500
7 Au 0.500 0.662 0.242
8 Au 0.500 0.662 0.758
9 Au 0.500 0.163 0.878
10 Au 0.500 0.159 0.372
11 Au 0.500 0.163 0.122
12 Au 0.500 0.159 0.628
13 Au 0.000 0.839 0.879
14 Au 0.000 0.833 0.374
15 Au 0.000 0.839 0.121
16 Au 0.000 0.833 0.626


# 8
A relaxed Mn2TlFe crystal, computed with GGA-PBEsol.

As for the energy relative to the elements: 54.4 kJ per mole of atoms. The symmetry is No. 44. For the energy above the most stable polymorph in this dataset, the calculation gives 116.3 meV per atom.

a b c (Å): 3.286 4.172 4.836
angles (deg): 115.55 109.86 90.00
Each line ends with the local moment (μB).
Positions (direct):
1 Fe 0.268 0.768 0.536  2.03
2 Mn 0.989 0.989 0.979  2.13
3 Mn 0.737 0.237 0.475  2.81
4 Tl 0.505 0.505 0.010  -0.09


# 9
A relaxed NaZnP2O crystal, computed with GGA-PBEsol.

Its raw formation energy is 0.344 eV per atom. The symmetry is No. 123.

a b c (Å): 3.581 4.963 4.963
angles (deg): 90.00 90.00 90.00
Positions (direct):
1 P 0.000 0.000 0.500
2 P 0.000 0.500 0.000
3 Zn 0.000 0.000 0.000
4 O 0.500 0.000 0.000
5 Na 0.500 0.500 0.500


# 10
A relaxed TaTc2Pt crystal, computed with GGA-PBEsol.

As for the energy relative to the elements: -29.8 kJ per mole of atoms. The symmetry is No. 119. For the energy above the most stable polymorph in this dataset, the calculation gives 0.0 meV per atom.

a b c (Å): 3.929 3.929 4.766
angles (deg): 114.34 114.34 90.00
Positions (direct):
1 Pt 0.000 0.000 0.000
2 Ta 0.250 0.750 0.500
3 Tc 0.500 0.500 0.000
4 Tc 0.750 0.250 0.500


# 11
A relaxed Zr2CdBAs crystal, computed with GGA-PBEsol.

As for the energy relative to the elements: 95.1 kJ per mole of atoms. The symmetry is No. 123.

a b c (Å): 3.881 5.234 5.234
angles (deg): 90.00 90.00 90.00
Positions (direct):
1 As 0.500 0.500 0.500
2 B 0.500 0.000 0.000
3 Zr 0.000 0.000 0.500
4 Zr 0.000 0.500 0.000
5 Cd 0.000 0.000 0.000


# 12
A relaxed Er2Mo4O15 crystal, computed with GGA-PBEsol.

Its raw formation energy is -2.443 eV per atom. The symmetry is No. 14.

a b c (Å): 6.707 9.519 10.512
angles (deg): 90.00 105.08 90.00
Positions (direct):
1 Er 0.289 0.523 0.225
2 Er 0.711 0.477 0.775
3 Er 0.711 0.023 0.275
4 Er 0.289 0.977 0.725
5 Mo 0.581 0.744 0.011
6 Mo 0.419 0.256 0.989
7 Mo 0.419 0.244 0.489
8 Mo 0.581 0.756 0.511
9 Mo 0.117 0.904 0.157
10 Mo 0.883 0.096 0.843
11 Mo 0.883 0.404 0.343
12 Mo 0.117 0.596 0.657
13 O 0.114 0.721 0.150
14 O 0.886 0.279 0.850
15 O 0.886 0.221 0.350
16 O 0.114 0.779 0.650
17 O 0.475 0.627 0.103
18 O 0.525 0.373 0.897
19 O 0.525 0.127 0.397
20 O 0.475 0.873 0.603
21 O 0.282 0.348 0.084
22 O 0.718 0.652 0.916
23 O 0.718 0.848 0.416
24 O 0.282 0.152 0.584
25 O 0.000 0.000 0.000
26 O 0.000 0.500 0.500
27 O 0.380 0.664 0.401
28 O 0.620 0.336 0.599
29 O 0.620 0.164 0.099
30 O 0.380 0.836 0.901
31 O 0.051 0.972 0.295
32 O 0.949 0.028 0.705
33 O 0.949 0.472 0.205
34 O 0.051 0.528 0.795
35 O 0.378 0.945 0.183
36 O 0.622 0.055 0.817
37 O 0.622 0.445 0.317
38 O 0.378 0.555 0.683
39 O 0.749 0.865 0.118
40 O 0.251 0.135 0.882
41 O 0.251 0.365 0.382
42 O 0.749 0.635 0.618


# 13
A relaxed SrLiCd2 crystal, computed with GGA-PBEsol.

As for the energy relative to the elements: -18.1 kJ per mole of atoms. The symmetry is No. 71. For the energy above the most stable polymorph in this dataset, the calculation gives 58.0 meV per atom.

a b c (Å): 4.868 4.855 5.557
angles (deg): 115.90 115.98 90.00
Positions (direct):
1 Sr 0.000 0.500 0.000
2 Cd 0.749 0.749 0.499
3 Cd 0.251 0.251 0.501
4 Li 0.500 0.000 0.000


# 14
A relaxed In2Rh crystal, computed with GGA-PBEsol.

As for the energy relative to the elements: -26.3 kJ per mole of atoms. The symmetry is No. 36.

a b c (Å): 3.009 6.644 6.647
angles (deg): 90.00 90.00 103.09
Positions (direct):
1 In 0.248 0.497 0.837
2 In 0.752 0.503 0.337
3 In 0.503 0.006 0.791
4 In 0.497 0.994 0.291
5 Rh 0.114 0.229 0.538
6 Rh 0.886 0.771 0.038


# 15
A relaxed Zn3Ag crystal, computed with GGA-PBEsol.

As for the energy relative to the elements: -2.3 kJ per mole of atoms. The symmetry is No. 47.

a b c (Å): 2.891 3.764 5.384
angles (deg): 90.00 90.00 90.00
Positions (direct):
1 Zn 0.500 0.500 0.744
2 Zn 0.000 0.000 0.500
3 Zn 0.500 0.500 0.256
4 Ag 0.000 0.000 0.000


# 16
A relaxed TlAsAu2 crystal, computed with GGA-PBEsol.

As for the energy relative to the elements: 9.5 kJ per mole of atoms. The symmetry is No. 8.

a b c (Å): 3.729 3.722 7.490
angles (deg): 104.53 90.00 120.06
Positions (direct):
1 Tl 0.504 0.008 0.514
2 Au 0.004 0.009 0.012
3 Au 0.258 0.516 0.775
4 As 0.734 0.467 0.199


# 17
A relaxed Be2BH3O5 crystal, computed with GGA-PBEsol.

The symmetry is No. 1.

a b c (Å): 4.411 4.434 5.264
angles (deg): 87.69 89.11 60.11
Positions (direct):
1 Be 0.674 0.656 0.608
2 Be 0.335 0.334 0.398
3 B 0.005 0.994 0.499
4 O 0.321 0.354 0.084
5 O 0.694 0.994 0.494
6 O 0.315 0.684 0.502
7 O 0.005 0.303 0.502
8 O 0.688 0.636 0.915
9 H 0.459 0.469 0.007
10 H 0.066 0.473 0.009
11 H 0.566 0.873 0.984


# 18
A relaxed LiZn3 crystal, computed with GGA-PBEsol.

As for the energy relative to the elements: -8.1 kJ per mole of atoms. The symmetry is No. 187.

a b c (Å): 2.710 2.710 8.775
angles (deg): 90.00 90.00 120.00
Positions (direct):
1 Zn 0.000 0.000 0.500
2 Zn 0.333 0.667 0.752
3 Zn 0.333 0.667 0.248
4 Li 0.000 0.000 0.000


# 19
A relaxed ZnCuBI2 crystal, computed with GGA-PBEsol.

Its raw formation energy is 0.684 eV per atom. The symmetry is No. 123.

a b c (Å): 3.904 5.205 5.205
angles (deg): 90.00 90.00 90.00
Positions (direct):
1 I 0.000 0.000 0.500
2 I 0.000 0.500 0.000
3 Zn 0.500 0.500 0.500
4 B 0.000 0.000 0.000
5 Cu 0.500 0.000 0.000


# 20
A relaxed BaTi2O5 crystal, computed with GGA-PBEsol.

Its raw formation energy is -3.114 eV per atom. The symmetry is No. 12.

a b c (Å): 3.883 8.669 9.477
angles (deg): 102.75 90.00 102.94
Positions (direct):
1 Ba 0.500 0.000 0.500
2 Ba 0.631 0.261 0.983
3 Ba 0.369 0.739 0.017
4 Ti 0.167 0.334 0.695
5 Ti 0.833 0.666 0.305
6 Ti 0.794 0.588 0.627
7 Ti 0.206 0.412 0.373
8 Ti 0.961 0.923 0.790
9 Ti 0.039 0.077 0.210
10 O 0.000 0.000 0.000
11 O 0.058 0.116 0.711
12 O 0.942 0.884 0.289
13 O 0.211 0.423 0.879
14 O 0.789 0.577 0.121
15 O 0.265 0.530 0.600
16 O 0.735 0.470 0.400
17 O 0.325 0.649 0.339
18 O 0.675 0.351 0.661
19 O 0.534 0.068 0.209
20 O 0.466 0.932 0.791
21 O 0.108 0.215 0.426
22 O 0.892 0.785 0.574
23 O 0.152 0.305 0.185
24 O 0.848 0.695 0.815


# 21
A relaxed MnCd2Rh crystal, computed with GGA-PBEsol.

As for the energy relative to the elements: 12.5 kJ per mole of atoms. The symmetry is No. 65. For the energy above the most stable polymorph in this dataset, the calculation gives 85.0 meV per atom.

a b c (Å): 3.004 4.763 4.763
angles (deg): 107.24 90.00 90.00
Each line ends with the local moment (μB).
Positions (direct):
1 Cd 0.000 0.000 0.500  -0.02
2 Cd 0.000 0.500 0.000  -0.02
3 Mn 0.500 0.500 0.500  3.65
4 Rh 0.500 0.000 0.000  0.27


# 22
A relaxed Tc2SbAs crystal, computed with GGA-PBEsol.

Its raw formation energy is 0.035 eV per atom. The symmetry is No. 25. For the energy above the most stable polymorph in this dataset, the calculation gives 45.3 meV per atom.

a b c (Å): 3.066 4.532 4.663
angles (deg): 90.00 90.00 90.02
Positions (direct):
1 Sb 0.125 0.745 0.500
2 As 0.625 0.476 0.000
3 Tc 0.125 0.039 0.000
4 Tc 0.625 0.240 0.500


# 23
A relaxed MgTe2O5 crystal, computed with GGA-PBEsol.

Its raw formation energy is -1.518 eV per atom. The symmetry is No. 60.

a b c (Å): 5.933 7.283 10.655
angles (deg): 90.00 90.00 90.00
Positions (direct):
1 Mg 0.750 0.000 0.941
2 Mg 0.250 0.500 0.559
3 Mg 0.250 0.000 0.059
4 Mg 0.750 0.500 0.441
5 O 0.049 0.148 0.936
6 O 0.549 0.352 0.564
7 O 0.451 0.852 0.936
8 O 0.951 0.648 0.564
9 O 0.951 0.852 0.064
10 O 0.451 0.648 0.436
11 O 0.549 0.148 0.064
12 O 0.049 0.352 0.436
13 O 0.692 0.192 0.793
14 O 0.192 0.308 0.707
15 O 0.808 0.808 0.793
16 O 0.308 0.692 0.707
17 O 0.308 0.808 0.207
18 O 0.808 0.692 0.293
19 O 0.192 0.192 0.207
20 O 0.692 0.308 0.293
21 O 0.750 0.000 0.555
22 O 0.250 0.500 0.945
23 O 0.250 0.000 0.445
24 O 0.750 0.500 0.055
25 Te 0.506 0.134 0.653
26 Te 0.006 0.366 0.847
27 Te 0.994 0.866 0.653
28 Te 0.494 0.634 0.847
29 Te 0.494 0.866 0.347
30 Te 0.994 0.634 0.153
31 Te 0.006 0.134 0.347
32 Te 0.506 0.366 0.153


| no. | volume (Å³/atom) | electronic total energy (eV per cell) |
| --- | --- | --- |
| 1 | 27.6 | -41.40 |
| 2 | 20.0 | -31.00 |
| 3 | 21.1 | -31.43 |
| 4 | 19.7 | -21.10 |
| 5 | 20.1 | -14.57 |
| 6 | 17.9 | -44.79 |
| 7 | 17.4 | -59.71 |
| 8 | 13.9 | -28.86 |
| 9 | 17.6 | -18.09 |
| 10 | 14.9 | -43.28 |
| 11 | 21.3 | -26.57 |
| 12 | 15.4 | -373.95 |
| 13 | 25.8 | -6.95 |
| 14 | 21.6 | -29.84 |
| 15 | 14.6 | -8.15 |
| 16 | 21.5 | -15.19 |
| 17 | 8.1 | -73.55 |
| 18 | 14.0 | -7.05 |
| 19 | 21.2 | -13.04 |
| 20 | 12.6 | -209.86 |
| 21 | 16.3 | -19.78 |
| 22 | 16.2 | -32.06 |
| 23 | 14.4 | -188.64 |